Entry 1:
The following is a DFT calculation (PBE) of Cr2CoP2 after structural relaxation.

V (Å³/f.u.): 56.5
Theoretical density (g/cm³): 6.6
DFT formation energy (eV/atom): -0.29
E_tot (eV per atom): -7.723
SG: P4/mbm, No. 127

Lattice parameters (Å, degrees): 5.647 5.647 3.542 90.00 90.00 90.00
Fractional positions:
Cr 0.173 0.327 0.000
Cr 0.327 0.827 0.000
Cr 0.673 0.173 0.000
Cr 0.827 0.673 0.000
Co 0.000 0.000 0.500
Co 0.500 0.500 0.500
P 0.139 0.639 0.500
P 0.361 0.139 0.500
P 0.639 0.861 0.500
P 0.861 0.361 0.500

Entry 2:
The following is a DFT calculation (PBE) of CrCo2P after structural relaxation.

V (Å³/f.u.): 43.1
Theoretical density (g/cm³): 7.7
DFT formation energy (eV/atom): -0.05
E_tot (eV per atom): -7.361
SG: Pmm2, No. 25

Lattice parameters (Å, degrees): 2.593 3.318 5.014 90.00 90.00 90.00
Fractional positions:
Cr 0.000 0.000 0.000
Co 0.000 0.000 0.490
Co 0.500 0.500 0.769
P 0.500 0.500 0.290

Entry 3:
The following is a DFT calculation (PBE) of CrCoP3 after structural relaxation.

V (Å³/f.u.): 82.3
Theoretical density (g/cm³): 4.1
DFT formation energy (eV/atom): 0.84
E_tot (eV per atom): -5.757
E above lowest polymorph (eV/atom): 0.000
SG: Pm-3m, No. 221

Lattice parameters (Å, degrees): 4.349 4.349 4.349 90.00 90.00 90.00
Fractional positions:
Cr 0.000 0.000 0.000
Co 0.500 0.500 0.500
P 0.000 0.000 0.500
P 0.000 0.500 0.000
P 0.500 0.000 0.000

Entry 4:
The following is a DFT calculation (PBE) of CrCo2P after structural relaxation.

V (Å³/f.u.): 43.6
Theoretical density (g/cm³): 7.7
DFT formation energy (eV/atom): -0.16
E_tot (eV per atom): -7.469
SG: P2/m, No. 10

Lattice parameters (Å, degrees): 2.583 3.688 4.748 90.00 105.61 90.00
Fractional positions:
Cr 0.000 0.000 0.000
Co 0.374 0.500 0.741
Co 0.626 0.500 0.259
P 0.500 0.000 0.500

Entry 5:
The following is a DFT calculation (PBE) of CrCo2P after structural relaxation.

V (Å³/f.u.): 47.5
Theoretical density (g/cm³): 7.0
DFT formation energy (eV/atom): 0.19
E_tot (eV per atom): -7.119
SG: I-42d, No. 122

Lattice parameters (Å, degrees): 8.080 8.080 8.080 154.86 154.86 35.85
Fractional positions:
Cr 0.000 0.000 0.000
Cr 0.750 0.250 0.500
Co 0.137 0.625 0.012
Co 0.375 0.387 0.512
Co 0.613 0.125 0.988
Co 0.875 0.863 0.488
P 0.250 0.750 0.500
P 0.500 0.500 0.000

Entry 6:
The following is a DFT calculation (PBE) of Pa2CrCo12P3 after structural relaxation.

V (Å³/f.u.): 232.7
Theoretical density (g/cm³): 9.4
DFT formation energy (eV/atom): -0.08
E_tot (eV per atom): -7.307
SG: R-3m, No. 166

Lattice parameters (Å, degrees): 6.199 6.199 6.199 82.59 82.59 82.59
Fractional positions:
Pa 0.140 0.140 0.140
Pa 0.860 0.860 0.860
Cr 0.500 0.500 0.500
Co 0.126 0.126 0.602
Co 0.126 0.602 0.126
Co 0.169 0.686 0.686
Co 0.314 0.314 0.831
Co 0.314 0.831 0.314
Co 0.398 0.874 0.874
Co 0.602 0.126 0.126
Co 0.686 0.169 0.686
Co 0.686 0.686 0.169
Co 0.831 0.314 0.314
Co 0.874 0.398 0.874
Co 0.874 0.874 0.398
P 0.000 0.500 0.500
P 0.500 0.000 0.500
P 0.500 0.500 0.000

Entry 7:
The following is a DFT calculation (PBE) of Cr2CoPPb after structural relaxation.

V (Å³/f.u.): 99.6
Theoretical density (g/cm³): 6.7
DFT formation energy (eV/atom): 0.98
E_tot (eV per atom): -6.116
SG: P4/mmm, No. 123

Lattice parameters (Å, degrees): 4.538 4.538 4.835 90.00 90.00 90.00
Fractional positions:
Cr 0.000 0.500 0.000
Cr 0.500 0.000 0.000
Co 0.000 0.000 0.000
P 0.500 0.500 0.500
Pb 0.000 0.000 0.500

Entry 8:
The following is a DFT calculation (PBE) of Cr2CoPRh after structural relaxation.

V (Å³/f.u.): 79.5
Theoretical density (g/cm³): 6.2
DFT formation energy (eV/atom): 0.77
E_tot (eV per atom): -7.056
SG: P4/mmm, No. 123

Lattice parameters (Å, degrees): 4.451 4.451 4.011 90.00 90.00 90.00
Fractional positions:
Cr 0.000 0.500 0.000
Cr 0.500 0.000 0.000
Co 0.000 0.000 0.000
P 0.000 0.000 0.500
Rh 0.500 0.500 0.500

The lowest DFT formation energy belongs to which entry?
Cr2CoP2